# GGA-PBE TmHfTi, relaxed
data_TmHfTi
_cell_length_a 3.1851
_cell_length_b 3.1851
_cell_length_c 7.7785
_cell_angle_alpha 90.00
_cell_angle_beta 90.00
_cell_angle_gamma 120.00
_symmetry_space_group_name_H-M 'P 3 m 1'
_symmetry_Int_Tables_number 156
_symmetry_space_group_name_Hall 'P 3 -2"'
loop_
_atom_site_label
_atom_site_type_symbol
_atom_site_fract_x
_atom_site_fract_y
_atom_site_fract_z
Tm1 Tm 0.0000 0.0000 0.0000
Hf1 Hf 0.3333 0.6667 0.6357
Ti1 Ti 0.6667 0.3333 0.3381
# DFT total energy, eV per atom: -7.235
# Relative energy among the computed polymorphs, meV/atom: 57
# Energy of formation, eV/atom: 0.205
# Size of the total moment, μB/f.u.: 0.0